Here is La2SiAg after structural relaxation from Alexandria. Energies are from PBE.

Cell lengths 4.3969, 4.3969, 7.9378 Å; angles 106.00, 106.00, 59.90 degrees
Fractional positions:
La (0.2394, 0.2394, 0.2189)
La (0.7606, 0.7606, 0.7811)
Si (0.5000, 0.5000, 0.0000)
Ag (0.0000, 0.0000, 0.5000)

Properties
V (Å³ per cell): 126
Raw formation energy (eV per formula unit): -1.36